Ta2CrPbO8 | PBE+U | optimized geometry

Calculated values
N(E_F) in states/eV/f.u.: 2.8
Electronic total energy in eV/atom: -8.392
SG: C2/m

abc: 4.8883 4.8883 6.3915
angles: 90.34 90.34 87.66
Last column: nearest neighbours and their distance in Å.
Atoms (fractional coordinates):
Ta 0.0110 0.0110 0.2584  6 O 1.97-2.12
Ta 0.9890 0.9890 0.7416  6 O 1.97-2.12
Cr 0.5000 0.5000 0.5000  6 O 1.99-2.17
Pb 0.5000 0.5000 0.0000  6 O 2.30-2.31
O 0.1720 0.1720 0.0038  2 Ta 1.99-2.11
O 0.1918 0.1918 0.4993  2 Ta 1.99-2.12, 1 Cr 2.17
O 0.2867 0.7074 0.2825  1 Ta 1.97, 1 Cr 1.99
O 0.2926 0.7133 0.7175  1 Ta 1.97, 1 Cr 1.99
O 0.7074 0.2867 0.2825  1 Ta 1.97, 1 Cr 1.99
O 0.7133 0.2926 0.7175  1 Ta 1.97, 1 Cr 1.99
O 0.8082 0.8082 0.5007  2 Ta 1.99-2.12, 1 Cr 2.17
O 0.8280 0.8280 0.9962  2 Ta 1.99-2.11